A relaxed RbCd3 crystal. Source: the Alexandria database, functional PBE.

## Properties
E_form, eV/atom: 0.08
DOS at the Fermi energy, states/eV/cell: 2.76
VASP energy, eV per atom: -0.846
Space-group type: No. 225

a = 5.674 Å, b = 5.674 Å, c = 5.674 Å
α = 60.00°, β = 60.00°, γ = 60.00°
Positions (direct):
1 Rb 0.000 0.000 0.000
2 Cd 0.250 0.250 0.250
3 Cd 0.500 0.500 0.500
4 Cd 0.750 0.750 0.750

A relaxed FeSiRu2 crystal. Source: the Alexandria database, functional PBE.

## Properties
DOS at the Fermi energy, states/eV/cell: 3.35
VASP energy, eV per atom: -8.069
Formation energy without anion corrections, kJ/mol of formula units: 16
Space-group type: No. 65

a = 2.739 Å, b = 2.739 Å, c = 8.061 Å
α = 90.00°, β = 90.00°, γ = 115.93°
Positions (direct):
1 Fe 0.000 0.000 0.000
2 Si 0.000 0.000 0.500
3 Ru 0.500 0.500 0.267
4 Ru 0.500 0.500 0.733

Q: Which value of DOS at the Fermi energy does entry 2 give?
A: 3.35 states/eV/cell

Q: Which of these has the lowest VASP energy?
A: FeSiRu2

Q: Which of these has the lowest DOS at the Fermi energy?
A: RbCd3

Q: Number 2 is which compound?
A: FeSiRu2